Material: Hf2Co7
Method: DFT, GGA-PBEsol
State: optimized geometry

## Properties
- Energy: -77.63 eV/f.u.

a = 4.6491 Å, b = 4.6491 Å, c = 6.1559 Å
α = 97.75°, β = 97.75°, γ = 120.95°
Last column: nearest neighbours and their distance in Å.
Atoms (fractional coordinates):
Hf 0.0975 0.0975 0.2656  14 Co 2.69-2.81
Hf 0.9025 0.9025 0.7344  14 Co 2.69-2.81
Co 0.0000 0.5000 0.0000  8 Co 2.29-2.45
Co 0.2102 0.5435 0.6542  5 Co 2.36-2.46
Co 0.4565 0.7898 0.3458  5 Co 2.36-2.46
Co 0.5000 0.0000 0.0000  8 Co 2.29-2.45
Co 0.5000 0.5000 0.0000  8 Co 2.32-2.45
Co 0.5435 0.2102 0.6542  5 Co 2.36-2.46
Co 0.7898 0.4565 0.3458  5 Co 2.36-2.46

Material: CaSe
Method: DFT, GGA-PBEsol
State: optimized geometry

## Properties
- Uncorrected formation energy: -3.29 eV per formula unit

a = 4.0254 Å, b = 4.0254 Å, c = 13.1080 Å
α = 90.00°, β = 90.00°, γ = 90.00°
Last column: nearest neighbours and their distance in Å.
Atoms (fractional coordinates):
Ca 0.0000 0.2500 0.3750  4 Se 2.85
Ca 0.0000 0.7500 0.6250  4 Se 2.85
Ca 0.5000 0.2500 0.1250  4 Se 2.85
Ca 0.5000 0.7500 0.8750  4 Se 2.85
Se 0.0000 0.2500 0.8750  4 Ca 2.85
Se 0.0000 0.7500 0.1250  4 Ca 2.85
Se 0.5000 0.2500 0.6250  4 Ca 2.85
Se 0.5000 0.7500 0.3750  4 Ca 2.85

Material: CoC3S
Method: DFT, GGA-PBEsol
State: optimized geometry

## Properties
- Uncorrected formation energy: 10.84 eV per formula unit

a = 3.7044 Å, b = 3.7044 Å, c = 3.7044 Å
α = 90.00°, β = 90.00°, γ = 90.00°
Last column: nearest neighbours and their distance in Å.
Atoms (fractional coordinates):
Co 0.0000 0.0000 0.0000  6 C 1.85
C 0.0000 0.0000 0.5000  2 Co 1.85
C 0.0000 0.5000 0.0000  2 Co 1.85
C 0.5000 0.0000 0.0000  2 Co 1.85
S 0.5000 0.5000 0.5000  12 C 2.62

Material: Sr2MgBr
Method: DFT, GGA-PBEsol
State: optimized geometry

## Properties
- Energy relative to the lowest polymorph listed for this composition: 153 meV/atom
- Uncorrected formation energy: -1.87 eV per formula unit

a = 8.3064 Å, b = 8.3064 Å, c = 8.3064 Å
α = 90.00°, β = 90.00°, γ = 90.00°
Last column: nearest neighbours and their distance in Å.
Atoms (fractional coordinates):
Sr 0.2500 0.2500 0.2500  4 Br 3.60, 4 Mg 3.60
Sr 0.2500 0.2500 0.7500  4 Br 3.60, 4 Mg 3.60
Sr 0.2500 0.7500 0.2500  4 Br 3.60, 4 Mg 3.60
Sr 0.2500 0.7500 0.7500  4 Br 3.60, 4 Mg 3.60
Sr 0.7500 0.2500 0.2500  4 Br 3.60, 4 Mg 3.60
Sr 0.7500 0.2500 0.7500  4 Br 3.60, 4 Mg 3.60
Sr 0.7500 0.7500 0.2500  4 Br 3.60, 4 Mg 3.60
Sr 0.7500 0.7500 0.7500  4 Br 3.60, 4 Mg 3.60
Mg 0.0000 0.0000 0.0000  8 Sr 3.60
Mg 0.0000 0.5000 0.5000  8 Sr 3.60
Mg 0.5000 0.0000 0.5000  8 Sr 3.60
Mg 0.5000 0.5000 0.0000  8 Sr 3.60
Br 0.0000 0.0000 0.5000  8 Sr 3.60
Br 0.0000 0.5000 0.0000  8 Sr 3.60
Br 0.5000 0.0000 0.0000  8 Sr 3.60
Br 0.5000 0.5000 0.5000  8 Sr 3.60

Question: What is the formula in the first record?
Answer: Hf2Co7